(1)
DFT (GGA-PBE) results for a relaxed structure of LiPm2Ag.

**M_tot**: 0.15 Bohr magnetons per cell

```
4
Lattice="5.2416 0.0000 0.0000 0.0000 5.2416 0.0000 0.0000 0.0000 3.8159" Properties=species:S:1:pos:R:3 pbc="T T T"
Li 0.0000 0.0000 0.0000
Pm 0.0000 2.6208 1.9079
Pm 2.6208 0.0000 1.9079
Ag 2.6208 2.6208 0.0000
```


(2)
DFT (GGA-PBE) results for a relaxed structure of LiPm2Ag.

**M_tot**: 0.33 Bohr magnetons per cell

```
4
Lattice="0.0000 3.7483 3.7483 3.7483 0.0000 3.7483 3.7483 3.7483 0.0000" Properties=species:S:1:pos:R:3 pbc="T T T"
Li 0.0000 0.0000 0.0000
Pm 1.8741 1.8741 1.8741
Pm 5.6224 5.6224 5.6224
Ag 3.7483 3.7483 3.7483
```


Last place for stability: (2)


(1)
DFT (GGA-PBE) results for a relaxed structure of Li2PmAg6.

**M_tot**: 0.00 Bohr magnetons per cell

```
18
Lattice="7.4225 -4.8466 0.0000 7.4225 4.8466 0.0000 0.0000 0.0000 4.7326" Properties=species:S:1:pos:R:3 pbc="T T T"
Li 3.2725 0.8319 1.1832
Li 3.2725 -0.8319 3.5495
Li 11.5724 0.8319 1.1832
Li 11.5724 -0.8319 3.5495
Pm 7.4225 2.4376 3.5495
Pm 7.4225 -2.4376 1.1832
Ag 5.9706 3.8842 1.1832
Ag 4.3364 1.5631 3.5495
Ag 8.8743 3.8842 1.1832
Ag 5.9719 0.8674 1.1832
Ag 4.3364 -1.5631 1.1832
Ag 5.9719 -0.8674 3.5495
Ag 8.8730 0.8674 1.1832
Ag 10.5085 1.5631 3.5495
Ag 8.8730 -0.8674 3.5495
Ag 5.9706 -3.8842 3.5495
Ag 10.5085 -1.5631 1.1832
Ag 8.8743 -3.8842 3.5495
```


(2)
DFT (GGA-PBE) results for a relaxed structure of Li2PmAg6.

**M_tot**: 0.00 Bohr magnetons per cell

```
9
Lattice="-1.5200 4.1156 7.0905 1.5200 -4.1156 7.0905 1.5200 4.1156 -7.0905" Properties=species:S:1:pos:R:3 pbc="T T T"
Li 0.0000 0.0000 2.0946
Li 0.0000 0.0000 12.0863
Pm 0.0000 4.1156 0.0000
Ag 1.5200 2.6757 -2.5108
Ag 1.5200 1.3568 0.0000
Ag 0.0000 1.4398 4.5797
Ag 1.5200 2.6757 2.5108
Ag 0.0000 2.7588 7.0905
Ag 0.0000 1.4398 9.6012
```


Last place for stability: (2)


(1)
DFT (GGA-PBE) results for a relaxed structure of LiPm2Ag3.

**M_tot**: 0.00 Bohr magnetons per cell

```
6
Lattice="3.5991 0.0000 0.0000 0.0000 3.5991 0.0000 0.0000 0.0000 10.6765" Properties=species:S:1:pos:R:3 pbc="T T T"
Li 0.0000 0.0000 0.0000
Pm 0.0000 0.0000 3.3877
Pm 0.0000 0.0000 7.2888
Ag 1.7995 1.7995 1.4229
Ag 1.7995 1.7995 5.3382
Ag 1.7995 1.7995 9.2536
```


(2)
DFT (GGA-PBE) results for a relaxed structure of LiPm2Ag3.

**M_tot**: 0.00 Bohr magnetons per cell

```
12
Lattice="5.1618 0.0000 0.0000 -2.5809 4.4703 0.0000 0.0000 0.0000 12.2879" Properties=species:S:1:pos:R:3 pbc="T T T"
Li 0.0000 2.9802 2.0650
Li 2.5809 1.4901 10.2230
Pm 0.0000 0.0000 0.0000
Pm 0.0000 0.0000 6.1440
Pm 0.0000 2.9802 8.4150
Pm 2.5809 1.4901 3.8729
Ag 0.0000 0.0000 3.0667
Ag 0.0000 0.0000 9.2212
Ag 0.0000 2.9802 5.0553
Ag 0.0000 2.9802 11.5316
Ag 2.5809 1.4901 0.7564
Ag 2.5809 1.4901 7.2327
```


Last place for stability: (2)


(1)
DFT (GGA-PBE) results for a relaxed structure of LiPmTlAg.

**M_tot**: 0.00 Bohr magnetons per cell

```
4
Lattice="0.0000 3.5261 3.5261 3.5261 0.0000 3.5261 3.5261 3.5261 0.0000" Properties=species:S:1:pos:R:3 pbc="T T T"
Li 0.0000 0.0000 0.0000
Pm 5.2892 5.2892 5.2892
Tl 1.7631 1.7631 1.7631
Ag 3.5261 3.5261 3.5261
```


(2)
DFT (GGA-PBE) results for a relaxed structure of LiPmTlAg.

**M_tot**: 0.00 Bohr magnetons per cell

```
4
Lattice="0.0000 3.6140 3.6140 3.6140 0.0000 3.6140 3.6140 3.6140 0.0000" Properties=species:S:1:pos:R:3 pbc="T T T"
Li 0.0000 0.0000 0.0000
Pm 3.6140 3.6140 3.6140
Tl 1.8070 1.8070 1.8070
Ag 5.4210 5.4210 5.4210
```


Last place for stability: (2)


(1)
DFT (GGA-PBE) results for a relaxed structure of LiPr2Ag2.

**M_tot**: 0.00 Bohr magnetons per cell

```
10
Lattice="-3.2155 6.6501 3.1225 3.2155 -6.6501 3.1225 3.2155 6.6501 -3.1225" Properties=species:S:1:pos:R:3 pbc="T T T"
Li 0.0000 0.0000 1.5612
Li 0.0000 0.0000 4.6837
Pr 4.3260 1.9392 0.0000
Pr 1.1105 4.7108 0.0000
Pr 2.1050 1.9392 3.1225
Pr -1.1105 4.7108 3.1225
Ag 1.2044 1.6569 0.0000
Ag 1.2044 -1.6569 3.1225
Ag 2.0111 8.3070 0.0000
Ag 2.0111 4.9932 3.1225
```


(2)
DFT (GGA-PBE) results for a relaxed structure of LiPr2Ag2.

**M_tot**: 0.00 Bohr magnetons per cell

```
10
Lattice="8.0750 0.0000 0.0000 0.0000 8.0750 0.0000 0.0000 0.0000 4.1498" Properties=species:S:1:pos:R:3 pbc="T T T"
Li 0.0000 0.0000 0.0000
Li 4.0375 4.0375 0.0000
Pr 1.3622 2.6753 2.0749
Pr 2.6753 6.7128 2.0749
Pr 5.3996 1.3622 2.0749
Pr 6.7128 5.3996 2.0749
Ag 1.0418 5.0793 0.0000
Ag 2.9956 1.0418 0.0000
Ag 5.0793 7.0331 0.0000
Ag 7.0331 2.9956 0.0000
```


Last place for stability: (1)


(1)
DFT (GGA-PBE) results for a relaxed structure of LiPrAg4.

**M_tot**: 0.00 Bohr magnetons per cell

```
6
Lattice="0.0000 3.9890 3.9890 3.9890 0.0000 3.9890 3.9890 3.9890 0.0000" Properties=species:S:1:pos:R:3 pbc="T T T"
Li 0.0000 0.0000 0.0000
Pr 1.9945 1.9945 1.9945
Ag 4.9935 2.9846 2.9846
Ag 2.9846 4.9935 2.9846
Ag 2.9846 2.9846 4.9935
Ag 4.9935 4.9935 4.9935
```


(2)
DFT (GGA-PBE) results for a relaxed structure of LiPrAg4.

**M_tot**: 0.00 Bohr magnetons per cell

```
6
Lattice="4.7587 0.0000 0.0000 -2.3794 4.1212 0.0000 0.0000 0.0000 6.5904" Properties=species:S:1:pos:R:3 pbc="T T T"
Li 0.0000 0.0000 0.0000
Pr 0.0000 0.0000 3.2952
Ag 0.0000 2.7474 1.4269
Ag 0.0000 2.7474 5.1636
Ag 2.3794 1.3737 1.4269
Ag 2.3794 1.3737 5.1636
```


Last place for stability: (2)


(1)
DFT (GGA-PBE) results for a relaxed structure of Li3Pr2Ag2.

**M_tot**: 0.00 Bohr magnetons per cell

```
7
Lattice="2.3366 -10.4751 0.0000 2.3366 10.4751 0.0000 0.0000 0.0000 3.7567" Properties=species:S:1:pos:R:3 pbc="T T T"
Li 0.0000 0.0000 0.0000
Li 2.3366 1.4603 1.8783
Li 2.3366 -1.4603 1.8783
Pr 2.3366 7.0071 0.0000
Pr 2.3366 -7.0071 0.0000
Ag 2.3366 4.3523 1.8783
Ag 2.3366 -4.3523 1.8783
```


(2)
DFT (GGA-PBE) results for a relaxed structure of Li3Pr2Ag2.

**M_tot**: 0.00 Bohr magnetons per cell

```
7
Lattice="5.4744 -2.1807 0.0000 5.4744 2.1807 0.0000 -3.1921 0.0000 6.8890" Properties=species:S:1:pos:R:3 pbc="T T T"
Li 0.0000 0.0000 0.0000
Li 0.1412 0.0000 3.0090
Li 7.6155 0.0000 3.8800
Pr 3.2178 0.0000 1.5668
Pr 4.5389 0.0000 5.3222
Ag 1.3908 0.0000 5.5243
Ag 6.3658 0.0000 1.3646
```


Last place for stability: (1)


(1)
DFT (GGA-PBE) results for a relaxed structure of LiPrAg3.

**M_tot**: 0.00 Bohr magnetons per cell

```
10
Lattice="6.7020 0.0000 0.0000 -3.3510 5.8041 0.0000 0.0000 0.0000 5.4980" Properties=species:S:1:pos:R:3 pbc="T T T"
Li 0.0000 0.0000 0.0000
Li 0.0000 0.0000 2.7490
Pr 0.0000 3.8694 1.3745
Pr 3.3510 1.9347 4.1235
Ag 0.0000 2.2108 4.1235
Ag -1.4364 4.6987 4.1235
Ag 1.9146 1.1054 1.3745
Ag 1.4364 4.6987 4.1235
Ag 4.7874 1.1054 1.3745
Ag 3.3510 3.5933 1.3745
```


(2)
DFT (GGA-PBE) results for a relaxed structure of LiPrAg3.

**M_tot**: 0.00 Bohr magnetons per cell

```
20
Lattice="5.7740 0.0000 0.0000 0.0000 13.1441 0.0000 0.0000 0.0000 5.6991" Properties=species:S:1:pos:R:3 pbc="T T T"
Li 1.0732 3.2860 1.0037
Li 1.8137 9.8581 3.8533
Li 3.9602 3.2860 1.8458
Li 4.7007 9.8581 4.6954
Pr 0.0000 0.0000 0.0000
Pr 0.0000 6.5721 0.0000
Pr 2.8870 0.0000 2.8495
Pr 2.8870 6.5721 2.8495
Ag 0.0111 1.4391 2.7944
Ag 0.0111 5.1330 2.7944
Ag 0.9975 9.8581 0.9836
Ag 1.8895 3.2860 3.8331
Ag 2.8758 8.0111 5.6439
Ag 2.8758 11.7050 5.6439
Ag 2.8981 1.4391 0.0552
Ag 2.8981 5.1330 0.0552
Ag 3.8844 9.8581 1.8660
Ag 4.7765 3.2860 4.7155
Ag 5.7628 8.0111 2.9047
Ag 5.7628 11.7050 2.9047
```


(3)
DFT (GGA-PBE) results for a relaxed structure of LiPrAg3.

**M_tot**: 0.00 Bohr magnetons per cell

```
5
Lattice="4.7605 0.0000 0.0000 0.0000 4.7605 0.0000 0.0000 0.0000 4.7605" Properties=species:S:1:pos:R:3 pbc="T T T"
Li 0.0000 0.0000 0.0000
Pr 2.3803 2.3803 2.3803
Ag 0.0000 0.0000 2.3803
Ag 0.0000 2.3803 0.0000
Ag 2.3803 0.0000 0.0000
```


Last place for stability: (3)